[1]
Below is a relaxed Y2MnB crystal, with properties calculated at the PBE level.

extended XYZ file:
```
8
Lattice="7.139 0.000 0.000 0.000 7.139 0.000 3.569 3.569 3.120" Properties=species:S:1:pos:R:3 pbc="T T T"
Mn 7.139 3.569 1.560
Y 5.169 1.785 0.780
B 3.569 7.139 1.560
B 3.569 3.569 0.000
Y 8.924 8.739 2.340
Mn 0.000 0.000 0.000
Y 1.970 5.354 0.780
Y 5.354 5.539 2.340
```

Properties
As for the crystal system: tetragonal.

---

[2]
Below is a relaxed Y3MnB7 crystal, with properties calculated at the PBE level.

extended XYZ file:
```
22
Lattice="8.071 -0.004 0.000 -7.337 3.363 0.000 0.000 0.000 9.313" Properties=species:S:1:pos:R:3 pbc="T T T"
Mn 7.249 0.176 6.985
Y -3.637 2.554 2.328
Y 6.468 0.346 0.563
B 2.366 1.242 1.426
B 0.701 1.606 3.743
B -1.632 2.116 6.082
B -3.138 2.445 4.957
B -1.632 2.116 7.887
B -0.242 1.812 2.328
B 2.366 1.242 3.231
B 0.033 1.752 5.570
B 0.033 1.752 8.399
B -3.138 2.445 9.013
B 0.976 1.546 6.985
Mn -6.515 3.183 2.328
Y 6.468 0.346 4.093
Y -5.734 3.012 8.750
B 3.872 0.913 0.300
Y 4.371 0.804 6.985
Y -5.734 3.012 5.220
B 0.701 1.606 0.914
B 3.872 0.913 4.357
```

Properties
As for the crystal system: orthorhombic.

---

[3]
Below is a relaxed YMn2B crystal, with properties calculated at the PBE level.

extended XYZ file:
```
8
Lattice="4.170 0.000 0.000 0.000 4.170 0.000 2.085 2.085 7.437" Properties=species:S:1:pos:R:3 pbc="T T T"
Mn 2.085 1.043 1.859
Mn 5.213 4.170 5.578
B 2.085 2.085 0.000
Y 4.170 2.085 3.718
B 2.085 4.170 3.718
Y 0.000 0.000 0.000
Mn 2.085 3.128 1.859
Mn 3.128 4.171 5.578
```

Properties
As for the crystal system: tetragonal.

---

[4]
Below is a relaxed Y2MnB10 crystal, with properties calculated at the PBE level.

extended XYZ file:
```
26
Lattice="4.149 0.000 0.000 0.000 5.618 0.000 0.000 0.000 11.192" Properties=species:S:1:pos:R:3 pbc="T T T"
B 1.239 1.639 6.877
B 2.910 1.170 1.281
B 0.000 5.405 9.096
Y 2.074 1.620 9.704
B 0.000 1.969 2.213
B 1.239 4.448 9.911
B 1.239 1.170 1.281
B 2.910 3.980 4.315
Mn 0.000 0.000 0.000
B 0.000 3.022 3.501
Y 2.074 1.189 4.108
B 0.000 3.650 8.978
Y 2.074 3.999 1.488
B 0.000 0.841 7.809
B 0.000 2.596 7.691
Y 2.074 4.429 7.083
B 0.000 4.778 3.383
B 0.000 0.717 6.031
B 0.000 3.526 10.756
Mn 0.000 2.809 5.596
B 2.910 1.639 6.877
B 0.000 0.213 2.095
B 2.910 4.448 9.911
B 0.000 4.902 5.160
B 1.239 3.980 4.315
B 0.000 2.092 0.436
```

Properties
As for the crystal system: orthorhombic.

---

[5]
Below is a relaxed Y3Mn2B9 crystal, with properties calculated at the PBE level.

extended XYZ file:
```
14
Lattice="3.124 0.000 0.000 1.562 7.566 1.133 1.562 2.818 7.112" Properties=species:S:1:pos:R:3 pbc="T T T"
B 4.686 7.490 3.736
B 1.562 2.893 4.509
B 1.562 5.047 1.796
Y 0.000 0.000 0.000
Y 3.124 7.648 6.072
B 4.686 5.337 6.449
Y 3.124 2.736 2.172
B 3.124 5.301 1.221
Mn 3.124 5.980 3.130
B 3.124 2.390 4.887
Mn 3.124 4.404 5.115
B 3.124 7.993 3.358
B 1.562 5.192 4.122
B 3.124 5.082 7.024
```

Properties
As for the crystal system: orthorhombic.

---

[6]
Below is a relaxed YMnB2 crystal, with properties calculated at the PBE level.

extended XYZ file:
```
4
Lattice="-2.559 -2.379 2.186 0.159 0.044 4.119 -3.063 1.711 2.162" Properties=species:S:1:pos:R:3 pbc="T T T"
Mn 0.000 0.000 0.000
B -4.098 -0.468 6.350
Y -2.732 -0.312 4.234
B -1.366 -0.156 2.117
```

Properties
As for the crystal system: cubic.

---

[7]
Below is a relaxed YMn4B4 crystal, with properties calculated at the PBE level.

extended XYZ file:
```
18
Lattice="3.925 0.000 0.000 0.000 7.030 0.000 0.000 0.000 7.030" Properties=species:S:1:pos:R:3 pbc="T T T"
Mn 2.427 0.825 2.608
Mn 0.465 0.907 4.339
Mn 0.465 6.123 2.690
B 0.448 5.678 4.724
Mn 1.498 4.422 0.825
Mn 3.461 4.339 6.123
Mn 3.461 2.690 0.907
B 1.514 2.163 1.210
B 3.477 4.724 1.352
Mn 2.427 6.205 4.422
Mn 1.498 2.608 6.205
B 2.411 5.820 2.163
Y 0.000 0.000 0.000
B 2.411 1.210 4.867
B 0.448 1.352 2.305
B 3.477 2.305 5.678
Y 1.963 3.515 3.515
B 1.514 4.867 5.820
```

Properties
As for the crystal system: tetragonal.

---

[8]
Below is a relaxed YbMnB4 crystal, with properties calculated at the PBE level.

extended XYZ file:
```
24
Lattice="-1.165 -1.450 -2.776 3.131 -4.841 1.216 -8.802 -4.212 5.894" Properties=species:S:1:pos:R:3 pbc="T T T"
B -5.613 -8.305 6.694
B -6.304 -4.798 5.151
B -3.683 -2.633 2.921
Mn -3.092 -4.310 1.538
B -7.379 -5.831 6.142
B -2.097 -2.392 2.129
B 1.707 -3.223 0.967
Yb -0.738 -3.180 -0.040
B -1.073 -3.838 2.455
Mn 1.446 -5.308 0.155
B 0.633 -4.256 1.958
B -2.066 -4.879 3.415
B -1.988 -6.420 4.188
B -1.610 -0.925 1.159
Mn -3.744 -6.193 2.795
Mn -8.282 -5.196 4.178
B -3.575 -6.661 4.980
B -4.061 -8.128 5.950
B -3.606 -4.175 3.694
Yb -5.925 -4.071 2.601
Yb -6.098 -7.323 4.373
B -4.598 -5.215 4.654
B -0.058 -0.748 0.415
Yb -0.911 -6.433 1.732
```

Properties
As for the crystal system: orthorhombic.

---

[9]
Below is a relaxed MnZnB crystal, with properties calculated at the PBE level.

extended XYZ file:
```
6
Lattice="-1.983 -0.848 1.895 -1.873 -0.396 -2.137 1.333 -7.093 -1.780" Properties=species:S:1:pos:R:3 pbc="T T T"
Zn -1.963 -5.276 -1.154
Mn -3.013 -2.085 -0.825
Zn -0.560 -3.061 -0.868
Mn 0.491 -6.252 -1.198
B -1.244 -7.461 -1.379
B -1.279 -0.876 -0.643
```

Properties
As for the crystal system: orthorhombic.

---

[10]
Below is a relaxed MnZn2B crystal, with properties calculated at the PBE level.

extended XYZ file:
```
8
Lattice="3.343 0.000 0.000 0.000 3.343 0.000 1.672 1.672 9.054" Properties=species:S:1:pos:R:3 pbc="T T T"
Mn 0.000 0.000 0.000
Zn 2.507 2.521 6.791
Zn 0.849 2.507 2.264
Mn 3.343 1.672 4.527
B 1.672 3.343 4.527
Zn 4.179 4.165 6.791
Zn 2.494 0.836 2.264
B 1.672 1.672 0.000
```

Properties
As for the crystal system: tetragonal.

---

[11]
Below is a relaxed ZrMnB2 crystal, with properties calculated at the PBE level.

extended XYZ file:
```
8
Lattice="3.862 0.000 0.000 0.000 3.862 0.000 1.931 1.931 6.705" Properties=species:S:1:pos:R:3 pbc="T T T"
B 4.827 3.862 5.029
Mn 1.931 3.862 3.352
B 1.931 2.896 1.676
B 1.931 0.965 1.676
B 2.896 3.862 5.029
Zr 0.000 0.000 0.000
Zr 3.862 1.931 3.352
Mn 1.931 1.931 0.000
```

Properties
As for the crystal system: tetragonal.

---

[12]
Below is a relaxed Zr3MnB7 crystal, with properties calculated at the PBE level.

extended XYZ file:
```
22
Lattice="-2.599 -1.040 -1.743 1.624 -6.088 4.332 -5.530 3.083 6.406" Properties=species:S:1:pos:R:3 pbc="T T T"
B -0.004 -3.509 2.100
Zr -3.989 -0.931 6.503
B -4.581 1.084 3.063
Zr -6.272 -2.807 7.907
B -1.925 -5.129 5.931
B -2.648 -0.458 1.101
B -4.099 -1.875 4.111
B -1.682 -3.799 4.775
B -6.292 2.038 5.045
B -3.859 -3.587 7.894
Zr -0.234 -1.237 1.087
Zr -2.517 -3.114 2.492
B -6.502 -0.535 6.894
B -5.901 0.354 5.466
B -2.407 -2.169 4.884
B -0.606 -4.399 3.528
B -4.824 -0.246 4.219
Zr -4.113 -4.011 5.406
Mn -4.117 1.676 5.138
B -0.215 -6.083 3.950
Zr -2.393 -0.034 3.588
Mn -2.390 -5.721 3.857
```

Properties
As for the crystal system: orthorhombic.

---

Asked for calculated formation energy across the records above, the calculation gives 865 -602 301 -452 -284 465 -446 -541 -241 595 -67 -851 meV per atom in order.
Asked for total magnetization across the records above, the calculation gives 0.1 0.1 2.4 1.0 0.2 1.9 4.7 0.4 0.0 2.6 0.6 0.0 μB/f.u. in order.